Entry 1:
Material: PmZnAg2
Method: DFT, GGA-PBEsol
State: optimized geometry

The structure in CIF format:
```
data_PmZnAg2
_cell_length_a 6.816
_cell_length_b 6.816
_cell_length_c 6.816
_cell_angle_alpha 90.00
_cell_angle_beta 90.00
_cell_angle_gamma 90.00
_symmetry_space_group_name_H-M 'F m -3 m'
_symmetry_Int_Tables_number 225
_symmetry_space_group_name_Hall '-F 4 2 3'
loop_
_atom_site_label
_atom_site_type_symbol
_atom_site_fract_x
_atom_site_fract_y
_atom_site_fract_z
Pm1 Pm 0.000 0.000 0.000
Zn1 Zn 0.000 0.000 0.500
Ag1 Ag 0.250 0.250 0.250
```

## Properties
DFT formation energy: -194 meV per atom
total magnetization: 0.0 Bohr magnetons per cell

---

Entry 2:
Material: PrAg
Method: DFT, GGA-PBEsol
State: optimized geometry

The structure in CIF format:
```
data_PrAg
_cell_length_a 3.708
_cell_length_b 3.708
_cell_length_c 3.708
_cell_angle_alpha 90.00
_cell_angle_beta 90.00
_cell_angle_gamma 90.00
_symmetry_space_group_name_H-M 'P m -3 m'
_symmetry_Int_Tables_number 221
_symmetry_space_group_name_Hall '-P 4 2 3'
loop_
_atom_site_label
_atom_site_type_symbol
_atom_site_fract_x
_atom_site_fract_y
_atom_site_fract_z
Pr1 Pr 0.000 0.000 0.000
Ag1 Ag 0.500 0.500 0.500
```

## Properties
DFT formation energy: -228 meV per atom
total magnetization: 0.0 Bohr magnetons per cell

---

| no. | E_tot (eV/atom) |
| --- | --- |
| 1 | -3.53 |
| 2 | -4.48 |